(1)
# CrCu2Hg | Alexandria | PBE | optimized geometry
data_CrCu2Hg
_chemical_formula_sum 'Cr1 Cu2 Hg1'
_space_group_name_H-M_alt 'P 1'
_space_group_IT_number 1
_space_group_name_Hall 'P 1'
_cell_length_a 8.8618
_cell_length_b 8.8618
_cell_length_c 8.8618
_cell_angle_alpha 18.66
_cell_angle_beta 18.66
_cell_angle_gamma 18.66
loop_
_atom_site_label
_atom_site_type_symbol
_atom_site_fract_x
_atom_site_fract_y
_atom_site_fract_z
Cr1 Cr 0.7500 0.7500 0.7500
Cu1 Cu 0.0071 0.0071 0.0071
Cu2 Cu 0.4929 0.4929 0.4929
Hg1 Hg 0.2500 0.2500 0.2500
# * energy of formation: 0.45 eV per atom
# * total energy: -16.3 eV/cell
# * ρ: 10.13 g/cm3
# * DOS at the Fermi energy: 0.82 states/eV/atom

---

(2)
# CrCu2Hg | Alexandria | PBE | optimized geometry
data_CrCu2Hg
_chemical_formula_sum 'Cr1 Cu2 Hg1'
_space_group_name_H-M_alt 'P 1'
_space_group_IT_number 1
_space_group_name_Hall 'P 1'
_cell_length_a 4.8330
_cell_length_b 4.8330
_cell_length_c 4.8330
_cell_angle_alpha 131.95
_cell_angle_beta 131.95
_cell_angle_gamma 70.30
loop_
_atom_site_label
_atom_site_type_symbol
_atom_site_fract_x
_atom_site_fract_y
_atom_site_fract_z
Cr1 Cr 0.7500 0.2500 0.5000
Cu1 Cu 0.0000 0.0000 0.0000
Cu2 Cu 0.2500 0.7500 0.5000
Hg1 Hg 0.5000 0.5000 0.0000
# * energy of formation: 0.30 eV per atom
# * total energy: -16.9 eV/cell
# * ρ: 10.30 g/cm3
# * DOS at the Fermi energy: 0.41 states/eV/atom

---

(3)
# Cr2CuHg | Alexandria | PBE | optimized geometry
data_Cr2CuHg
_chemical_formula_sum 'Cr2 Cu1 Hg1'
_space_group_name_H-M_alt 'P 1'
_space_group_IT_number 1
_space_group_name_Hall 'P 1'
_cell_length_a 3.0752
_cell_length_b 3.0752
_cell_length_c 6.3402
_cell_angle_alpha 90.00
_cell_angle_beta 90.00
_cell_angle_gamma 90.00
loop_
_atom_site_label
_atom_site_type_symbol
_atom_site_fract_x
_atom_site_fract_y
_atom_site_fract_z
Cr1 Cr 0.0000 0.0000 0.0518
Cr2 Cr 0.5000 0.5000 0.2334
Cu1 Cu 0.0000 0.0000 0.4740
Hg1 Hg 0.5000 0.5000 0.7408
# * energy of formation: 0.31 eV per atom
# * total energy: -22.4 eV/cell
# * ρ: 10.20 g/cm3
# * DOS at the Fermi energy: 0.48 states/eV/atom

---

(4)
# CrCu2Hg | Alexandria | PBE | optimized geometry
data_CrCu2Hg
_chemical_formula_sum 'Cr1 Cu2 Hg1'
_space_group_name_H-M_alt 'P 1'
_space_group_IT_number 1
_space_group_name_Hall 'P 1'
_cell_length_a 2.7678
_cell_length_b 2.7678
_cell_length_c 7.5469
_cell_angle_alpha 90.00
_cell_angle_beta 90.00
_cell_angle_gamma 90.00
loop_
_atom_site_label
_atom_site_type_symbol
_atom_site_fract_x
_atom_site_fract_y
_atom_site_fract_z
Cr1 Cr 0.5000 0.5000 0.7500
Cu1 Cu 0.0000 0.0000 0.9707
Cu2 Cu 0.0000 0.0000 0.5293
Hg1 Hg 0.5000 0.5000 0.2500
# * energy of formation: 0.42 eV per atom
# * total energy: -16.4 eV/cell
# * ρ: 10.90 g/cm3
# * DOS at the Fermi energy: 0.61 states/eV/atom

---

(5)
# Cr2CuHg | Alexandria | PBE | optimized geometry
data_Cr2CuHg
_chemical_formula_sum 'Cr2 Cu1 Hg1'
_space_group_name_H-M_alt 'P 1'
_space_group_IT_number 1
_space_group_name_Hall 'P 1'
_cell_length_a 4.9619
_cell_length_b 4.9619
_cell_length_c 4.9619
_cell_angle_alpha 137.16
_cell_angle_beta 137.19
_cell_angle_gamma 62.17
loop_
_atom_site_label
_atom_site_type_symbol
_atom_site_fract_x
_atom_site_fract_y
_atom_site_fract_z
Cr1 Cr 0.0000 0.0000 0.0000
Cr2 Cr 0.5000 0.5000 0.0000
Cu1 Cu 0.7500 0.2500 0.5000
Hg1 Hg 0.2500 0.7500 0.5000
# * energy of formation: 0.58 eV per atom
# * total energy: -21.3 eV/cell
# * ρ: 10.96 g/cm3
# * DOS at the Fermi energy: 1.04 states/eV/atom

---

(6)
# CrCu2Hg | Alexandria | PBE | optimized geometry
data_CrCu2Hg
_chemical_formula_sum 'Cr1 Cu2 Hg1'
_space_group_name_H-M_alt 'P 1'
_space_group_IT_number 1
_space_group_name_Hall 'P 1'
_cell_length_a 3.2262
_cell_length_b 3.2123
_cell_length_c 5.8776
_cell_angle_alpha 90.00
_cell_angle_beta 90.00
_cell_angle_gamma 90.00
loop_
_atom_site_label
_atom_site_type_symbol
_atom_site_fract_x
_atom_site_fract_y
_atom_site_fract_z
Cr1 Cr 0.5000 0.5000 0.7500
Cu1 Cu 0.0000 0.0000 0.9729
Cu2 Cu 0.0000 0.0000 0.5271
Hg1 Hg 0.5000 0.5000 0.2500
# * energy of formation: 0.31 eV per atom
# * total energy: -16.9 eV/cell
# * ρ: 10.35 g/cm3
# * DOS at the Fermi energy: 0.49 states/eV/atom